A plane-wave DFT calculation with PBE was carried out for Tb2DyNiSn3Ir2 after structural relaxation.

Output
* calculated density: 11.28 g cm⁻³
* SG: Amm2
* calculated total energy: -6.25 eV per atom

Lattice parameters (Å, degrees): 3.8333 7.5311 7.5311 119.97 90.00 90.00
Closest atoms and distances in Å follow each position.
Fractional coordinates of all 9 atoms:
Sn  0.5000  0.9998  0.7447  2 Ni 2.71, 2 Ir 2.85
Tb  0.0000  0.4059  0.0000  4 Ir 2.98-2.99, 1 Ni 3.06, 6 Sn 3.19-3.29
Tb  0.0000  0.0000  0.4059  4 Ir 2.98-2.99, 1 Ni 3.06, 6 Sn 3.19-3.29
Ir  0.5000  0.3336  0.6666  3 Sn 2.85, 2 Dy 2.98, 4 Tb 2.98-2.99
Sn  0.5000  0.7447  0.9998  2 Ni 2.71, 2 Ir 2.85
Dy  0.0000  0.5941  0.5941  4 Ir 2.98, 1 Ni 3.06, 6 Sn 3.19-3.29
Ir  0.5000  0.6666  0.3336  3 Sn 2.85, 2 Dy 2.98, 4 Tb 2.98-2.99
Ni  0.0000  0.9999  0.9999  6 Sn 2.71-2.72
Sn  0.5000  0.2554  0.2554  2 Ni 2.72, 2 Ir 2.85